The following is a DFT calculation (GGA-PBE) of Ca2ThPt3 after structural relaxation.

Lattice parameters (Å, degrees): 3.572 5.013 15.179 90.00 90.00 90.00
Element x y z (fractional)
Pt  0.499  0.500  0.652
Pt  0.501  0.500  0.000
Pt  0.501  0.000  0.152
Ca  0.999  0.000  0.326
Pt  0.499  0.500  0.348
Th  0.999  0.500  0.500
Pt  0.499  0.000  0.500
Ca  0.001  0.500  0.174
Ca  0.999  0.000  0.674
Th  0.001  0.000  0.000
Pt  0.501  0.000  0.848
Ca  0.001  0.500  0.826

Computed properties:
- VASP energy: -0.43790 Ry/atom
- ΔE_f: -1.034 eV/atom
- Total moment: 0.00 μB per cell
- DOS at the Fermi energy: 6.51 states/eV per cell